[1]
Compound: PmGdGa4
Source: the Alexandria database
Functional: GGA-PBE
Structure: optimized geometry

Structure (POSCAR):
```
PmGdGa4
1.0
5.578 0.000 0.000
2.789 4.831 0.000
2.789 1.610 4.554
Gd Pm Ga
1 1 4
Direct
0.250 0.250 0.250
0.000 0.000 0.000
0.625 0.625 0.625
0.625 0.625 0.125
0.625 0.125 0.625
0.125 0.625 0.625
```

Properties
SG = F-43m (216)
calculated total energy = -5.7296 eV per atom
formation energy = -0.57 eV per atom
volume = 122.7 Å³ per cell
calculated density = 7864 kg/m³


[2]
Compound: PmGd2Ga
Source: the Alexandria database
Functional: GGA-PBE
Structure: optimized geometry

Structure (POSCAR):
```
PmGd2Ga
1.0
5.387 0.000 0.000
2.693 4.665 0.000
2.693 1.555 4.398
Pm Gd Ga
1 2 1
Direct
0.000 0.000 0.000
0.250 0.250 0.250
0.750 0.750 0.750
0.500 0.500 0.500
```

Properties
SG = Fm-3m (225)
calculated total energy = -9.0717 eV per atom
formation energy = -0.09 eV per atom
relative energy among the computed polymorphs = 191 meV per atom
volume = 110.5 Å³ per cell
calculated density = 7950 kg/m³


[3]
Compound: PmPrGdGa
Source: the Alexandria database
Functional: GGA-PBE
Structure: optimized geometry

Structure (POSCAR):
```
PmPrGdGa
1.0
5.446 0.000 0.000
2.723 4.716 0.000
2.723 1.572 4.447
Pr Pm Ga Gd
1 1 1 1
Direct
0.250 0.250 0.250
0.750 0.750 0.750
0.000 0.000 0.000
0.500 0.500 0.500
```

Properties
SG = F-43m (216)
calculated total energy = -6.7786 eV per atom
formation energy = -0.12 eV per atom
relative energy among the computed polymorphs = 0 meV per atom
volume = 114.2 Å³ per cell
calculated density = 7457 kg/m³


[4]
Compound: PmGdPuGa
Source: the Alexandria database
Functional: GGA-PBE
Structure: optimized geometry

Structure (POSCAR):
```
PmGdPuGa
1.0
5.325 0.000 0.000
2.663 4.612 0.000
2.663 1.537 4.348
Pm Ga Gd Pu
1 1 1 1
Direct
0.000 0.000 0.000
0.500 0.500 0.500
0.250 0.250 0.250
0.750 0.750 0.750
```

Properties
SG = F-43m (216)
calculated total energy = -9.0225 eV per atom
formation energy = 0.03 eV per atom
volume = 106.8 Å³ per cell
calculated density = 9578 kg/m³


[5]
Compound: PmGdGaRh
Source: the Alexandria database
Functional: GGA-PBE
Structure: optimized geometry

Structure (POSCAR):
```
PmGdGaRh
1.0
5.055 0.000 0.000
2.527 4.377 0.000
2.527 1.459 4.127
Rh Ga Pm Gd
1 1 1 1
Direct
0.750 0.750 0.750
0.250 0.250 0.250
0.000 0.000 0.000
0.500 0.500 0.500
```

Properties
SG = F-43m (216)
calculated total energy = -7.9012 eV per atom
formation energy = -0.60 eV per atom
volume = 91.3 Å³ per cell
calculated density = 8636 kg/m³


[6]
Compound: PmGdScGa
Source: the Alexandria database
Functional: GGA-PBE
Structure: optimized geometry

Structure (POSCAR):
```
PmGdScGa
1.0
-4.862 -0.969 -1.794
-3.646 -2.021 3.227
-4.043 2.979 1.603
Pm Gd Sc Ga
1 1 1 1
Direct
0.000 0.000 0.000
0.500 0.500 0.500
0.750 0.750 0.750
0.250 0.250 0.250
```

Properties
SG = F-43m (216)
calculated total energy = -7.2049 eV per atom
formation energy = -0.16 eV per atom
volume = 103.6 Å³ per cell
calculated density = 6682 kg/m³


[7]
Compound: PmSmGdGa
Source: the Alexandria database
Functional: GGA-PBE
Structure: optimized geometry

Structure (POSCAR):
```
PmSmGdGa
1.0
-0.526 -5.197 1.402
0.095 -3.849 -3.798
4.238 -3.340 -0.360
Sm Gd Ga Pm
1 1 1 1
Direct
0.000 0.000 0.000
0.500 0.500 0.500
0.250 0.250 0.250
0.750 0.750 0.750
```

Properties
SG = F-43m (216)
calculated total energy = -6.7203 eV per atom
formation energy = -0.08 eV per atom
volume = 111.9 Å³ per cell
calculated density = 7755 kg/m³


[8]
Compound: PmGdGaSn
Source: the Alexandria database
Functional: GGA-PBE
Structure: optimized geometry

Structure (POSCAR):
```
PmGdGaSn
1.0
5.303 0.000 0.000
2.652 4.593 0.000
2.652 1.531 4.330
Gd Sn Ga Pm
1 1 1 1
Direct
0.500 0.500 0.500
0.250 0.250 0.250
0.750 0.750 0.750
0.000 0.000 0.000
```

Properties
SG = F-43m (216)
calculated total energy = -7.0376 eV per atom
formation energy = -0.57 eV per atom
volume = 105.5 Å³ per cell
calculated density = 7726 kg/m³


[9]
Compound: TbPmGdGa
Source: the Alexandria database
Functional: GGA-PBE
Structure: optimized geometry

Structure (POSCAR):
```
TbPmGdGa
1.0
-0.630 -5.016 -1.833
-1.714 -3.876 3.309
-4.937 -2.048 -0.587
Gd Pm Tb Ga
1 1 1 1
Direct
0.750 0.750 0.750
0.500 0.500 0.500
0.250 0.250 0.250
0.000 0.000 0.000
```

Properties
SG = F-43m (216)
calculated total energy = -6.6906 eV per atom
formation energy = -0.07 eV per atom
volume = 109.9 Å³ per cell
calculated density = 8019 kg/m³


[10]
Compound: PmGdYGa
Source: the Alexandria database
Functional: GGA-PBE
Structure: optimized geometry

Structure (POSCAR):
```
PmGdYGa
1.0
-1.276 -2.549 4.564
0.537 -5.344 0.339
3.876 -2.125 3.069
Gd Ga Pm Y
1 1 1 1
Direct
0.250 0.250 0.250
0.000 0.000 0.000
0.500 0.500 0.500
0.750 0.750 0.750
```

Properties
SG = F-43m (216)
calculated total energy = -7.1517 eV per atom
formation energy = -0.07 eV per atom
volume = 110.2 Å³ per cell
calculated density = 6945 kg/m³


[11]
Compound: PrGdGa
Source: the Alexandria database
Functional: GGA-PBE
Structure: optimized geometry

Structure (POSCAR):
```
PrGdGa
1.0
-0.165 2.837 2.550
-4.946 -0.750 0.514
3.237 -2.466 2.954
Ga Pr Gd
1 1 1
Direct
0.631 0.333 0.667
0.964 0.000 0.000
0.405 0.667 0.333
```

Properties
SG = P3m1 (156)
calculated total energy = -7.5690 eV per atom
formation energy = -0.27 eV per atom
relative energy among the computed polymorphs = 80 meV per atom
volume = 83.6 Å³ per cell
calculated density = 7306 kg/m³


[12]
Compound: Pr2GdGa
Source: the Alexandria database
Functional: GGA-PBE
Structure: optimized geometry

Structure (POSCAR):
```
Pr2GdGa
1.0
4.831 0.000 0.000
0.000 4.877 0.000
0.000 0.000 4.877
Pr Ga Gd
2 1 1
Direct
0.000 0.500 0.000
0.000 0.000 0.500
0.500 0.000 0.000
0.500 0.500 0.500
```

Properties
SG = P4/mmm (123)
calculated total energy = -6.9100 eV per atom
formation energy = -0.24 eV per atom
relative energy among the computed polymorphs = 0 meV per atom
volume = 114.9 Å³ per cell
calculated density = 7353 kg/m³


[13]
Compound: PrGdGa4
Source: the Alexandria database
Functional: GGA-PBE
Structure: optimized geometry

Structure (POSCAR):
```
PrGdGa4
1.0
5.611 0.000 0.000
2.806 4.860 0.000
2.806 1.620 4.582
Ga Gd Pr
4 1 1
Direct
0.126 0.625 0.625
0.625 0.625 0.126
0.625 0.625 0.625
0.625 0.126 0.625
0.250 0.250 0.250
0.000 0.000 0.000
```

Properties
SG = F-43m (216)
calculated total energy = -5.7259 eV per atom
formation energy = -0.56 eV per atom
volume = 124.9 Å³ per cell
calculated density = 7670 kg/m³


[14]
Compound: PrGdGa
Source: the Alexandria database
Functional: GGA-PBE
Structure: optimized geometry

Structure (POSCAR):
```
PrGdGa
1.0
3.708 0.000 0.000
0.000 3.708 0.000
-1.854 -1.854 6.158
Ga Gd Pr
1 1 1
Direct
0.672 0.672 0.344
0.309 0.309 0.618
0.019 0.019 0.039
```

Properties
SG = I4mm (107)
calculated total energy = -7.6489 eV per atom
formation energy = -0.35 eV per atom
relative energy among the computed polymorphs = 0 meV per atom
volume = 84.7 Å³ per cell
calculated density = 7215 kg/m³


[15]
Compound: PrGdGa
Source: the Alexandria database
Functional: GGA-PBE
Structure: optimized geometry

Structure (POSCAR):
```
PrGdGa
1.0
5.086 0.000 0.000
2.543 4.405 0.000
2.543 1.468 4.153
Ga Gd Pr
1 1 1
Direct
0.250 0.250 0.250
0.500 0.500 0.500
0.000 0.000 0.000
```

Properties
SG = F-43m (216)
calculated total energy = -7.5597 eV per atom
formation energy = -0.26 eV per atom
relative energy among the computed polymorphs = 89 meV per atom
volume = 93.0 Å³ per cell
calculated density = 6566 kg/m³


[16]
Compound: Pr2GdGa
Source: the Alexandria database
Functional: GGA-PBE
Structure: optimized geometry

Structure (POSCAR):
```
Pr2GdGa
1.0
5.478 0.000 0.000
2.739 4.744 0.000
2.739 1.581 4.472
Pr Gd Ga
2 1 1
Direct
0.250 0.250 0.250
0.750 0.750 0.750
0.000 0.000 0.000
0.500 0.500 0.500
```

Properties
SG = Fm-3m (225)
calculated total energy = -6.7877 eV per atom
formation energy = -0.12 eV per atom
relative energy among the computed polymorphs = 122 meV per atom
volume = 116.2 Å³ per cell
calculated density = 7270 kg/m³